(1)
## LiVSi3O8 (PBEsol)

Data for a relaxed LiVSi3O8 crystal.

Unit cell a=7.041 b=7.341 c=7.544 alpha=115.49 beta=110.42 gamma=94.48
Sites, in units of the cell vectors:
Li 0.186 0.315 0.254
Li 0.814 0.685 0.746
V 0.192 0.849 0.143
V 0.808 0.151 0.857
Si 0.262 0.185 0.822
Si 0.279 0.576 0.772
Si 0.379 0.787 0.546
Si 0.621 0.213 0.454
Si 0.721 0.424 0.228
Si 0.738 0.815 0.178
O 0.095 0.163 0.919
O 0.108 0.691 0.837
O 0.219 0.332 0.709
O 0.257 0.960 0.640
O 0.296 0.577 0.560
O 0.307 0.707 0.291
O 0.367 0.126 0.309
O 0.497 0.287 0.019
O 0.503 0.713 0.981
O 0.633 0.874 0.691
O 0.693 0.293 0.709
O 0.704 0.423 0.440
O 0.743 0.040 0.360
O 0.781 0.668 0.291
O 0.892 0.309 0.163
O 0.905 0.837 0.081

Results
E_form (uncorrected) (meV/atom): -2552.6
Crystal system: triclinic


(2)
## LiP2PtCl (PBEsol)

Data for a relaxed LiP2PtCl crystal.

Unit cell a=4.392 b=4.392 c=7.386 alpha=90.00 beta=90.00 gamma=90.00
Sites, in units of the cell vectors:
Li 0.000 0.000 0.000
P 0.000 0.500 0.500
P 0.500 0.000 0.500
Pt 0.500 0.500 0.500
Cl 0.500 0.500 0.000

Results
E_form (uncorrected) (meV/atom): 73.4
Crystal system: tetragonal


(3)
## InPt2Rh (PBEsol)

Data for a relaxed InPt2Rh crystal.

Unit cell a=4.846 b=4.846 c=4.846 alpha=131.62 beta=131.62 gamma=70.83
Sites, in units of the cell vectors:
In 0.000 0.000 0.000
Pt 0.250 0.750 0.500
Pt 0.750 0.250 0.500
Rh 0.500 0.500 0.000

Results
Calculated formation energy (eV/atom): -0.234
Crystal system: tetragonal


(4)
## BaTaTe2 (PBEsol)

Data for a relaxed BaTaTe2 crystal.

Unit cell a=4.382 b=4.382 c=7.980 alpha=107.93 beta=107.93 gamma=55.06
Sites, in units of the cell vectors:
Ba 0.000 0.000 0.000
Ta 0.193 0.193 0.525
Te 0.573 0.573 0.702
Te 0.800 0.800 0.324

Results
E_form (uncorrected) (meV/atom): -499.4
Crystal system: monoclinic


(5)
## CsInF2 (PBEsol)

Data for a relaxed CsInF2 crystal.

Unit cell a=8.027 b=8.027 c=8.027 alpha=30.33 beta=30.33 gamma=30.33
Sites, in units of the cell vectors:
Cs 0.000 0.000 0.000
In 0.500 0.500 0.500
F 0.113 0.113 0.113
F 0.887 0.887 0.887

Results
E_form (uncorrected) (meV/atom): -1749.3
Crystal system: trigonal


(6)
## ZnCuAu2 (PBEsol)

Data for a relaxed ZnCuAu2 crystal.

Unit cell a=4.925 b=4.925 c=4.527 alpha=106.51 beta=106.51 gamma=34.12
Sites, in units of the cell vectors:
Zn 0.000 0.000 0.000
Cu 0.280 0.280 0.694
Au 0.530 0.530 0.521
Au 0.752 0.752 0.178

Results
Calculated formation energy (eV/atom): -0.139
Crystal system: monoclinic


(7)
## AlFe2Mo (PBEsol)

Data for a relaxed AlFe2Mo crystal.

Unit cell a=2.843 b=2.843 c=5.926 alpha=90.00 beta=90.00 gamma=90.00
Sites, in units of the cell vectors:
Al 0.000 0.000 0.000
Fe 0.500 0.500 0.242
Fe 0.500 0.500 0.758
Mo 0.000 0.000 0.500

Results
Calculated formation energy (eV/atom): -0.178
Crystal system: tetragonal


(8)
## ZrTaZn3 (PBEsol)

Data for a relaxed ZrTaZn3 crystal.

Unit cell a=4.730 b=4.730 c=4.730 alpha=90.00 beta=90.00 gamma=90.00
Sites, in units of the cell vectors:
Zr 0.000 0.000 0.000
Ta 0.500 0.500 0.500
Zn 0.000 0.500 0.500
Zn 0.500 0.000 0.500
Zn 0.500 0.500 0.000

Results
Calculated formation energy (eV/atom): 1.057
Crystal system: cubic


(9)
## ScIrPb2 (PBEsol)

Data for a relaxed ScIrPb2 crystal.

Unit cell a=9.349 b=9.349 c=9.349 alpha=21.05 beta=21.05 gamma=21.05
Sites, in units of the cell vectors:
Sc 0.000 0.000 0.000
Ir 0.272 0.272 0.272
Pb 0.529 0.529 0.529
Pb 0.761 0.761 0.761

Results
Calculated formation energy (eV/atom): -0.058
Crystal system: trigonal


(10)
## Y2SiAu (PBEsol)

Data for a relaxed Y2SiAu crystal.

Unit cell a=4.114 b=4.114 c=5.806 alpha=90.00 beta=90.00 gamma=90.00
Sites, in units of the cell vectors:
Y 0.000 0.000 0.000
Y 0.500 0.500 0.500
Si 0.000 0.000 0.500
Au 0.500 0.500 0.000

Results
E_form (uncorrected) (meV/atom): -575.2
Crystal system: tetragonal


(11)
## Sr3SiBi (PBEsol)

Data for a relaxed Sr3SiBi crystal.

Unit cell a=6.157 b=6.157 c=6.157 alpha=90.00 beta=90.00 gamma=90.00
Sites, in units of the cell vectors:
Sr 0.000 0.000 0.500
Sr 0.000 0.500 0.000
Sr 0.500 0.000 0.000
Si 0.500 0.500 0.500
Bi 0.000 0.000 0.000

Results
E_form (uncorrected) (meV/atom): 67.5
Crystal system: cubic


(12)
## SiIr (PBEsol)

Data for a relaxed SiIr crystal.

Unit cell a=2.803 b=2.803 c=3.335 alpha=90.00 beta=90.00 gamma=90.00
Sites, in units of the cell vectors:
Si 0.000 0.000 0.000
Ir 0.500 0.500 0.500

Results
E_form (uncorrected) (meV/atom): -405.8
Crystal system: tetragonal


What final energy values result from the calculations? In sequence: -8.00; -4.43; -6.50; -5.94; -3.69; -3.58; -8.62; -4.22; -6.16; -6.40; -3.04; -8.19 eV per atom.